Record 1
Computed, not measured: CuRePb after structural relaxation at the PBEsol level of DFT.

Summary:
energy above the most stable polymorph in this dataset	328	meV per atom
SG	F-43m (216)
formation energy from the elements	1.2365	eV/atom

Structure (extended XYZ):
```
3
Lattice="-1.284 -3.660 1.779 1.568 -1.199 3.783 -2.493 0.070 3.462" Properties=species:S:1:pos:R:3 pbc="T T T"
Cu -0.552 -1.197 2.256
Pb 0.000 0.000 0.000
Re -1.104 -2.395 4.512
```

Record 2
Computed, not measured: Re2HgAs after structural relaxation at the PBEsol level of DFT.

Summary:
energy above the most stable polymorph in this dataset	0	meV per atom
SG	R-3m (166)
formation energy from the elements	0.5394	eV/atom

Structure (extended XYZ):
```
4
Lattice="2.894 0.000 0.000 1.447 2.506 0.000 1.447 0.835 8.732" Properties=species:S:1:pos:R:3 pbc="T T T"
Re 1.447 0.835 2.440
Re 4.341 2.506 6.291
As 2.894 1.671 4.366
Hg 0.000 0.000 0.000
```

Record 3
Computed, not measured: InCuB2Mo after structural relaxation at the PBEsol level of DFT.

Summary:
SG	P4/mmm (123)
formation energy from the elements	1.3374	eV/atom

Structure (extended XYZ):
```
5
Lattice="-0.424 -3.687 -0.898 3.259 -0.817 1.814 -2.527 -0.735 4.208" Properties=species:S:1:pos:R:3 pbc="T T T"
Mo -1.264 -0.368 2.104
B 1.629 -0.408 0.907
B -0.212 -1.843 -0.449
Cu 0.000 0.000 0.000
In 0.154 -2.619 2.562
```

Record 4
Computed, not measured: HgBSBr2 after structural relaxation at the PBEsol level of DFT.

Summary:
formation energy from raw total energies	0.778	eV/atom
SG	P4/mmm (123)

Structure (extended XYZ):
```
5
Lattice="5.865 0.000 0.000 0.000 4.259 0.000 0.000 0.000 4.259" Properties=species:S:1:pos:R:3 pbc="T T T"
S 2.933 2.129 2.129
B 0.000 0.000 0.000
Hg 2.933 0.000 0.000
Br 0.000 0.000 2.129
Br 0.000 2.129 0.000
```

Record 5
Computed, not measured: AlRh2Pb after structural relaxation at the PBEsol level of DFT.

Summary:
SG	Cm (8)
formation energy from the elements	-0.2917	eV/atom

Structure (extended XYZ):
```
4
Lattice="-2.690 0.150 1.501 -1.546 -3.417 -2.428 3.375 -2.152 3.093" Properties=species:S:1:pos:R:3 pbc="T T T"
Pb -0.250 -3.815 -0.066
Rh -0.795 -5.192 2.261
Rh -0.769 -2.155 2.006
Al 1.349 -3.464 2.762
```

Record 6
Computed, not measured: CaGd2O4 after structural relaxation at the PBEsol level of DFT.

Summary:
formation energy from raw total energies	-3.297	eV/atom
energy above the most stable polymorph in this dataset	3	meV per atom
SG	Fd-3m (227)

Structure (extended XYZ):
```
14
Lattice="6.840 0.000 0.000 3.420 5.924 0.000 3.420 1.975 5.585" Properties=species:S:1:pos:R:3 pbc="T T T"
Ca 3.420 1.975 1.396
Ca 0.000 0.000 0.000
Gd 6.840 3.949 0.698
Gd 8.550 4.936 3.491
Gd 5.130 4.936 3.491
Gd 6.840 1.975 3.491
O 8.386 3.057 2.161
O 10.260 4.139 4.820
O 5.294 3.057 2.161
O 6.840 3.949 4.686
O 8.715 6.816 4.820
O 6.840 5.734 2.161
O 11.806 6.816 4.820
O 10.260 5.924 2.296
```

Record 7
Computed, not measured: MgAlPb2 after structural relaxation at the PBEsol level of DFT.

Summary:
SG	I-4m2 (119)
formation energy from the elements	0.1017	eV/atom

Structure (extended XYZ):
```
4
Lattice="-0.414 4.449 0.622 -4.451 -0.321 -0.664 1.770 -2.795 4.810" Properties=species:S:1:pos:R:3 pbc="T T T"
Al -2.432 2.064 -0.021
Mg -2.556 -0.526 2.062
Pb 0.000 0.000 0.000
Pb -0.538 1.859 2.705
```

Record 8
Computed, not measured: NaIn2 after structural relaxation at the PBEsol level of DFT.

Summary:
SG	P6/mmm (191)
formation energy from the elements	-0.1249	eV/atom

Structure (extended XYZ):
```
3
Lattice="-0.606 1.005 3.212 -3.618 -3.498 0.412 4.760 -1.131 1.251" Properties=species:S:1:pos:R:3 pbc="T T T"
Na -0.303 0.503 1.606
In -0.826 -2.709 0.692
In 1.967 -1.920 0.972
```